A plane-wave DFT calculation with PBE was carried out for crystalline Pt2Cl at its relaxed geometry.

Crystal system   orthorhombic
Formation energy without anion corrections   0.2754 eV per atom
Total magnetization   0.000 μB/atom
Total energy   -13.10 eV/f.u.
Excess energy over the best structure of this formula in the dataset   0.30 eV per formula unit

```
6
Lattice="2.619 -5.211 0.000 2.619 5.211 0.000 0.000 0.000 4.674" Properties=species:S:1:pos:R:3 pbc="T T T"
Pt 3.325 -2.861 3.505
Pt 1.912 2.861 1.168
Pt 3.325 2.861 3.505
Pt 1.912 -2.861 1.168
Cl 1.203 0.000 3.505
Cl 4.034 0.000 1.168
```

A plane-wave DFT calculation with PBE was carried out for crystalline Pt4Cl at its relaxed geometry.

Crystal system   tetragonal
Formation energy without anion corrections   0.3505 eV per atom
Total magnetization   0.000 μB/atom
Total energy   -24.26 eV/f.u.
Excess energy over the best structure of this formula in the dataset   0.00 eV per formula unit

```
5
Lattice="-3.303 -3.359 -3.097 1.278 2.602 4.835 -1.937 4.709 -2.421" Properties=species:S:1:pos:R:3 pbc="T T T"
Pt -1.397 4.710 0.422
Pt -1.789 2.035 1.016
Pt -2.565 -0.758 -1.104
Pt -2.173 1.917 -1.698
Cl 0.000 0.000 0.000
```

A plane-wave DFT calculation with PBE was carried out for crystalline PtCl at its relaxed geometry.

Crystal system   cubic
Formation energy without anion corrections   0.6596 eV per atom
Total magnetization   0.000 μB/atom
Total energy   -6.57 eV/f.u.

```
2
Lattice="3.721 0.000 0.000 1.860 3.222 0.000 1.860 1.074 3.038" Properties=species:S:1:pos:R:3 pbc="T T T"
Cl 0.000 0.000 0.000
Pt 3.721 2.148 1.519
```

A plane-wave DFT calculation with PBE was carried out for crystalline PtCl at its relaxed geometry.

Crystal system   orthorhombic
Formation energy without anion corrections   0.4380 eV per atom
Total magnetization   0.000 μB/atom
Total energy   -7.01 eV/f.u.

```
4
Lattice="7.133 -0.021 0.000 -6.135 3.640 0.000 0.000 0.000 3.240" Properties=species:S:1:pos:R:3 pbc="T T T"
Cl 5.498 0.430 2.430
Cl -4.499 3.188 0.810
Pt 1.604 1.504 2.430
Pt -0.605 2.114 0.810
```

- Number 3 is which compound?
  PtCl

- Among the records above, which one has the lowest formation energy without anion corrections?
  Pt2Cl

- Among the records above, which one has the highest total energy?
  number 3